1.
Entry from the Alexandria database: an optimized crystal structure of IrPb2Au (PBE).

Summary:
- total DFT energy (no corrections) (eV per atom) = -4.540
- SG = No. 12
- DFT formation energy (meV/atom) = 349
- density of states at the Fermi level (states/eV/cell) = 3.32

Cell lengths 7.903, 5.083, 3.384 Å; angles 89.57, 65.25, 129.65 degrees
Positions (direct):
Pb: 0.500 0.000 0.500
Pb: 0.000 0.000 0.000
Au: 0.000 0.500 0.500
Ir: 0.500 0.500 0.000

2.
Entry from the Alexandria database: an optimized crystal structure of La8RuRh2 (PBE).

Summary:
- total DFT energy (no corrections) (eV per atom) = -6.116
- SG = No. 12
- DFT formation energy (meV/atom) = -353
- density of states at the Fermi level (states/eV/cell) = 11.82

Cell lengths 6.771, 7.779, 7.779 Å; angles 68.76, 76.52, 76.52 degrees
Positions (direct):
Rh: 0.468 0.303 0.303
Rh: 0.532 0.697 0.697
La: 0.752 0.931 0.359
La: 0.231 0.585 0.585
La: 0.742 0.867 0.867
La: 0.769 0.415 0.415
La: 0.258 0.133 0.133
La: 0.752 0.359 0.931
La: 0.248 0.641 0.069
La: 0.248 0.069 0.641
Ru: 0.000 0.000 0.000

3.
Entry from the Alexandria database: an optimized crystal structure of Ac2Sn3Ir2 (PBE).

Summary:
- total DFT energy (no corrections) (eV per atom) = -5.997
- SG = No. 12
- DFT formation energy (meV/atom) = -576
- density of states at the Fermi level (states/eV/cell) = 4.79

Cell lengths 4.460, 6.076, 7.835 Å; angles 114.22, 90.00, 111.53 degrees
Positions (direct):
Ir: 0.144 0.289 0.219
Ir: 0.856 0.711 0.781
Sn: 0.500 0.000 0.000
Sn: 0.366 0.733 0.561
Sn: 0.634 0.267 0.439
Ac: 0.144 0.287 0.787
Ac: 0.856 0.713 0.213

4.
Entry from the Alexandria database: an optimized crystal structure of Ba2Be (PBE).

Summary:
- total DFT energy (no corrections) (eV per atom) = -2.092
- SG = No. 36
- DFT formation energy (meV/atom) = 432
- density of states at the Fermi level (states/eV/cell) = 8.29

Cell lengths 7.858, 7.858, 7.955 Å; angles 90.00, 90.00, 148.95 degrees
Positions (direct):
Ba: 0.777 0.223 0.100
Ba: 0.522 0.478 0.253
Ba: 0.478 0.522 0.753
Ba: 0.223 0.777 0.600
Be: 0.886 0.114 0.480
Be: 0.114 0.886 0.980